(1)
Material: Li3MoPt
Method: DFT, PBE
State: relaxed

Properties
- E above lowest polymorph: 0.00 kcal/mol of atoms
- Calculated volume: 84.0 Å³ per cell
- E_form: 0.912 eV per atom

Cell lengths 4.3796, 4.3796, 4.3796 Å; angles 90.00, 90.00, 90.00 degrees
With the nearest neighbours (Å) after each atom.
Space group Pm-3m (No. 221)
Inequivalent atoms, fractional coordinates:
Li  0.0000  0.0000  0.5000 x3  2 Pt 2.19
Mo  0.5000  0.5000  0.5000 x1  12 Li 3.10
Pt  0.0000  0.0000  0.0000 x1  6 Li 2.19

---

(2)
Material: Li2MoPt
Method: DFT, PBE
State: relaxed

Properties
- E above lowest polymorph: 9.84 kcal/mol of atoms
- Calculated volume: 210.1 Å³ per cell
- E_form: 0.314 eV per atom

Cell lengths 5.9452, 5.9452, 5.9452 Å; angles 90.00, 90.00, 90.00 degrees
With the nearest neighbours (Å) after each atom.
Space group Fm-3m (No. 225)
Inequivalent atoms, fractional coordinates:
Li  0.2500  0.2500  0.2500 x8  4 Mo 2.57, 4 Pt 2.57
Mo  0.0000  0.0000  0.0000 x4  8 Li 2.57
Pt  0.0000  0.0000  0.5000 x4  8 Li 2.57

---

(3)
Material: LiReMo2Pt
Method: DFT, PBE
State: relaxed

Properties
- Calculated volume: 112.6 Å³ per cell
- E_form: 1.893 eV per atom

Cell lengths 4.8386, 4.8386, 4.8097 Å; angles 90.00, 90.00, 90.00 degrees
With the nearest neighbours (Å) after each atom.
Space group P4/mmm (No. 123)
Inequivalent atoms, fractional coordinates:
Li  0.0000  0.0000  0.0000 x1  8 Mo 3.41, 4 Re 3.42
Re  0.5000  0.5000  0.0000 x1  2 Pt 2.40
Mo  0.0000  0.5000  0.5000 x2  2 Pt 2.42
Pt  0.5000  0.5000  0.5000 x1  2 Re 2.40, 4 Mo 2.42

---

(4)
Material: LiMoPt2Rh
Method: DFT, PBE
State: relaxed

Properties
- Calculated volume: 73.3 Å³ per cell
- E_form: 0.494 eV per atom

Cell lengths 4.2041, 4.2041, 4.1457 Å; angles 90.00, 90.00, 90.00 degrees
With the nearest neighbours (Å) after each atom.
Space group P4/mmm (No. 123)
Inequivalent atoms, fractional coordinates:
Li  0.0000  0.0000  0.0000 x1  2 Rh 2.07, 4 Pt 2.10
Mo  0.5000  0.5000  0.5000 x1  8 Pt 2.95, 4 Rh 2.97
Pt  0.0000  0.5000  0.0000 x2  2 Li 2.10
Rh  0.0000  0.0000  0.5000 x1  2 Li 2.07